This record from Alexandria describes a geometry-optimized PrSm6Hg structure. The functional is PBE.

Summary:
**Energy of formation**: -0.014 eV per atom
**Magnetization**: 0.0 μB/cell
**E**: -4.189 eV per atom
**Space-group type**: P-1, No. 2

Unit cell a=6.4399 b=6.4409 c=6.4435 alpha=94.95 beta=95.02 gamma=95.09
Last column: nearest neighbours and their distance in Å.
Fractional coordinates of all 8 atoms:
Pr: 0.0000 0.0000 0.0000  12 Sm 3.56-3.71
Sm: 0.0600 0.5408 0.2609  1 Hg 3.15, 2 Sm 3.32-3.37
Sm: 0.2609 0.0604 0.5411  1 Hg 3.14, 2 Sm 3.32-3.37
Sm: 0.4593 0.7390 0.9395  1 Hg 3.15, 2 Sm 3.32-3.37
Sm: 0.5407 0.2610 0.0605  1 Hg 3.15, 2 Sm 3.32-3.37
Sm: 0.7391 0.9396 0.4589  1 Hg 3.14, 2 Sm 3.32-3.37
Sm: 0.9400 0.4592 0.7391  1 Hg 3.15, 2 Sm 3.32-3.37
Hg: 0.5000 0.5000 0.5000  6 Sm 3.14-3.15